Rb5CoSeO2: relaxed, GGA+U.

The structure in POSCAR format:
```
Rb5CoSeO2
1.0
5.662 0.000 0.000
0.000 5.662 0.000
0.000 0.000 9.161
Rb Co Se O
5 1 1 2
Direct
0.000 0.000 0.000
0.000 0.500 0.265
0.000 0.500 0.735
0.500 0.000 0.265
0.500 0.000 0.735
0.000 0.000 0.500
0.500 0.500 0.000
0.000 0.000 0.307
0.000 0.000 0.693
```

Summary:
* total moment: 2.000 μB/cell
* energy: -32.76 eV/f.u.
* crystal system: tetragonal
* SG: P4/mmm